Entry 1:
# SrThB4 PBE relaxed
# Electronic total energy: -74.347 eV per cell
# Excess energy over the best structure of this formula in the dataset: 0 meV per atom
# Volume: 15.32 Å³ per atom
data_SrThB4
_chemical_formula_sum 'Sr2 Th2 B8'
_cell_length_a 3.1632
_cell_length_b 7.5204
_cell_length_c 7.7292
_cell_angle_alpha 90.00
_cell_angle_beta 90.00
_cell_angle_gamma 90.00
_space_group_name_H-M_alt 'I m m m'
_space_group_IT_number 71
_space_group_name_Hall '-I 2 2'
loop_
_atom_site_label
_atom_site_type_symbol
_atom_site_fract_x
_atom_site_fract_y
_atom_site_fract_z
_atom_site_occupancy
Sr1 Sr 0.0000 0.0000 0.0000 1
Th1 Th 0.0000 0.0000 0.5000 1
B1 B 0.0000 0.2744 0.2430 1

Entry 2:
# SrThB4 PBE relaxed
# Electronic total energy: -36.604 eV per cell
# Excess energy over the best structure of this formula in the dataset: 95 meV per atom
# Volume: 13.70 Å³ per atom
data_SrThB4
_chemical_formula_sum 'Sr1 Th1 B4'
_cell_length_a 3.3339
_cell_length_b 3.3339
_cell_length_c 8.5396
_cell_angle_alpha 90.00
_cell_angle_beta 90.00
_cell_angle_gamma 120.00
_space_group_name_H-M_alt 'P 6/m m m'
_space_group_IT_number 191
_space_group_name_Hall '-P 6 2'
loop_
_atom_site_label
_atom_site_type_symbol
_atom_site_fract_x
_atom_site_fract_y
_atom_site_fract_z
_atom_site_occupancy
Sr1 Sr 0.0000 0.0000 0.0000 1
Th1 Th 0.0000 0.0000 0.5000 1
B1 B 0.3333 0.6667 0.2585 1

Entry 3:
# SrTm2B2 PBE relaxed
# Electronic total energy: -89.378 eV per cell
# Volume: 21.12 Å³ per atom
data_SrTm2B2
_chemical_formula_sum 'Sr4 Tm8 B8'
_cell_length_a 8.0303
_cell_length_b 9.0143
_cell_length_c 5.8360
_cell_angle_alpha 90.00
_cell_angle_beta 90.00
_cell_angle_gamma 90.00
_space_group_name_H-M_alt 'I b a 2'
_space_group_IT_number 45
loop_
_space_group_symop_operation_xyz
'x,y,z'
'-x,-y,z'
'-x,y,z+1/2'
'x,-y,z+1/2'
'x+1/2,y+1/2,z+1/2'
'-x+1/2,-y+1/2,z+1/2'
'-x+1/2,y+1/2,z'
'x+1/2,-y+1/2,z'
loop_
_atom_site_label
_atom_site_type_symbol
_atom_site_fract_x
_atom_site_fract_y
_atom_site_fract_z
_atom_site_occupancy
Sr1 Sr 0.0000 0.0000 0.0000 1
Tm1 Tm 0.1300 0.3611 0.2513 1
B1 B 0.1872 0.3621 0.7494 1

Entry 4:
# SrUB PBE relaxed
# Electronic total energy: -66.106 eV per cell
# Excess energy over the best structure of this formula in the dataset: 0 meV per atom
# Volume: 23.27 Å³ per atom
data_SrUB
_chemical_formula_sum 'Sr4 U4 B4'
_cell_length_a 6.5361
_cell_length_b 6.5361
_cell_length_c 6.5361
_cell_angle_alpha 90.00
_cell_angle_beta 90.00
_cell_angle_gamma 90.00
_space_group_name_H-M_alt 'F -4 3 m'
_space_group_IT_number 216
_space_group_name_Hall 'F -4 2 3'
loop_
_atom_site_label
_atom_site_type_symbol
_atom_site_fract_x
_atom_site_fract_y
_atom_site_fract_z
_atom_site_occupancy
Sr1 Sr 0.0000 0.0000 0.0000 1
U1 U 0.0000 0.0000 0.5000 1
B1 B 0.2500 0.2500 0.2500 1